Record 1
The following is a DFT calculation (PBE-GGA) of a geometry-optimized Ca3PuPd8 structure.

Structure (CIF):
```
data_Ca3PuPd8
_cell_length_a 5.4791
_cell_length_b 5.4791
_cell_length_c 26.7311
_cell_angle_alpha 90.00
_cell_angle_beta 90.00
_cell_angle_gamma 120.00
_symmetry_space_group_name_H-M 'R 3 m'
_symmetry_Int_Tables_number 160
_symmetry_space_group_name_Hall 'R 3 -2"'
loop_
_atom_site_label
_atom_site_type_symbol
_atom_site_fract_x
_atom_site_fract_y
_atom_site_fract_z
_atom_site_occupancy
Ca1 Ca 0.0000 0.0000 0.0000 1
Ca2 Ca 0.0000 0.0000 0.1243 1
Ca3 Ca 0.0000 0.0000 0.4974 1
Pu1 Pu 0.0000 0.0000 0.6234 1
Pd1 Pd 0.0000 0.0000 0.3112 1
Pd2 Pd 0.0000 0.0000 0.8112 1
Pd3 Pd 0.0010 0.5005 0.5619 1
Pd4 Pd 0.1673 0.3346 0.3940 1
```

## Properties
**E**: -5.79 eV/atom
**ΔE_f**: -0.632 eV per atom
**Total magnetic moment**: 16.99 μB per cell
**Density of states at the Fermi level**: 1.976 states/eV per atom

Record 2
The following is a DFT calculation (PBE-GGA) of a geometry-optimized CaPu5Pd6 structure.

Structure (CIF):
```
data_CaPu5Pd6
_cell_length_a 5.010
_cell_length_b 7.048
_cell_length_c 7.778
_cell_angle_alpha 90.00
_cell_angle_beta 108.17
_cell_angle_gamma 90.00
_symmetry_space_group_name_H-M 'P 1 2/m 1'
_symmetry_Int_Tables_number 10
loop_
_symmetry_equiv_pos_as_xyz
'x,y,z'
'-x,-y,-z'
'-x,y,-z'
'x,-y,z'
loop_
_atom_site_label
_atom_site_type_symbol
_atom_site_fract_x
_atom_site_fract_y
_atom_site_fract_z
_atom_site_occupancy
Ca1 Ca 0.000 0.000 0.000 1
Pu1 Pu 0.000 0.500 0.000 1
Pu2 Pu 0.367 0.000 0.659 1
Pu3 Pu 0.379 0.500 0.671 1
Pd1 Pd 0.112 0.255 0.335 1
Pd2 Pd 0.500 0.243 0.000 1
```

## Properties
**E**: -9.17 eV/atom
**ΔE_f**: -0.431 eV per atom
**Total magnetic moment**: 28.12 μB per cell
**Density of states at the Fermi level**: 4.152 states/eV per atom

Record 3
The following is a DFT calculation (PBE-GGA) of a geometry-optimized CaPuPd2 structure.

Structure (CIF):
```
data_CaPuPd2
_cell_length_a 3.489
_cell_length_b 3.489
_cell_length_c 7.246
_cell_angle_alpha 90.00
_cell_angle_beta 90.00
_cell_angle_gamma 90.00
_symmetry_space_group_name_H-M 'P 4/m m m'
_symmetry_Int_Tables_number 123
_symmetry_space_group_name_Hall '-P 4 2'
loop_
_atom_site_label
_atom_site_type_symbol
_atom_site_fract_x
_atom_site_fract_y
_atom_site_fract_z
_atom_site_occupancy
Ca1 Ca 0.000 0.000 0.000 1
Pu1 Pu 0.000 0.000 0.500 1
Pd1 Pd 0.500 0.500 0.260 1
```

## Properties
**E**: -7.21 eV/atom
**Energy above the most stable polymorph in this dataset**: 0.0000 eV/atom
**ΔE_f**: -0.532 eV per atom
**Total magnetic moment**: 5.45 μB per cell
**Density of states at the Fermi level**: 3.191 states/eV per atom

Record 4
The following is a DFT calculation (PBE-GGA) of a geometry-optimized Ca3PuPd4 structure.

Structure (CIF):
```
data_Ca3PuPd4
_cell_length_a 3.503
_cell_length_b 5.001
_cell_length_c 10.058
_cell_angle_alpha 90.00
_cell_angle_beta 90.00
_cell_angle_gamma 90.00
_symmetry_space_group_name_H-M 'P m m m'
_symmetry_Int_Tables_number 47
loop_
_symmetry_equiv_pos_as_xyz
'x,y,z'
'-x,-y,-z'
'-x,-y,z'
'x,y,-z'
'x,-y,-z'
'-x,y,z'
'-x,y,-z'
'x,-y,z'
loop_
_atom_site_label
_atom_site_type_symbol
_atom_site_fract_x
_atom_site_fract_y
_atom_site_fract_z
_atom_site_occupancy
Ca1 Ca 0.000 0.000 0.000 1
Ca2 Ca 0.000 0.500 0.246 1
Pu1 Pu 0.000 0.000 0.500 1
Pd1 Pd 0.500 0.000 0.258 1
Pd2 Pd 0.500 0.500 0.000 1
Pd3 Pd 0.500 0.500 0.500 1
```

## Properties
**E**: -5.74 eV/atom
**ΔE_f**: -0.597 eV per atom
**Total magnetic moment**: 5.51 μB per cell
**Density of states at the Fermi level**: 1.998 states/eV per atom

Record 5
The following is a DFT calculation (PBE-GGA) of a geometry-optimized CaPuPd4 structure.

Structure (CIF):
```
data_CaPuPd4
_cell_length_a 7.734
_cell_length_b 7.734
_cell_length_c 7.734
_cell_angle_alpha 90.00
_cell_angle_beta 90.00
_cell_angle_gamma 90.00
_symmetry_space_group_name_H-M 'F -4 3 m'
_symmetry_Int_Tables_number 216
_symmetry_space_group_name_Hall 'F -4 2 3'
loop_
_atom_site_label
_atom_site_type_symbol
_atom_site_fract_x
_atom_site_fract_y
_atom_site_fract_z
_atom_site_occupancy
Ca1 Ca 0.000 0.000 0.000 1
Pu1 Pu 0.250 0.250 0.750 1
Pd1 Pd 0.125 0.125 0.375 1
```

## Properties
**E**: -6.75 eV/atom
**ΔE_f**: -0.566 eV per atom
**Total magnetic moment**: 22.41 μB per cell
**Density of states at the Fermi level**: 3.478 states/eV per atom

Record 6
The following is a DFT calculation (PBE-GGA) of a geometry-optimized CaPuPd6 structure.

Structure (CIF):
```
data_CaPuPd6
_cell_length_a 4.145
_cell_length_b 4.145
_cell_length_c 8.250
_cell_angle_alpha 90.00
_cell_angle_beta 90.00
_cell_angle_gamma 90.00
_symmetry_space_group_name_H-M 'P 4/m m m'
_symmetry_Int_Tables_number 123
_symmetry_space_group_name_Hall '-P 4 2'
loop_
_atom_site_label
_atom_site_type_symbol
_atom_site_fract_x
_atom_site_fract_y
_atom_site_fract_z
_atom_site_occupancy
Ca1 Ca 0.000 0.000 0.000 1
Pu1 Pu 0.000 0.000 0.500 1
Pd1 Pd 0.000 0.500 0.256 1
Pd2 Pd 0.500 0.500 0.000 1
Pd3 Pd 0.500 0.500 0.500 1
```

## Properties
**E**: -6.48 eV/atom
**ΔE_f**: -0.548 eV per atom
**Total magnetic moment**: 4.45 μB per cell
**Density of states at the Fermi level**: 1.828 states/eV per atom

Record 7
The following is a DFT calculation (PBE-GGA) of a geometry-optimized CaPuPd2 structure.

Structure (CIF):
```
data_CaPuPd2
_cell_length_a 3.2590
_cell_length_b 3.2590
_cell_length_c 30.1615
_cell_angle_alpha 90.00
_cell_angle_beta 90.00
_cell_angle_gamma 120.00
_symmetry_space_group_name_H-M 'R -3 m'
_symmetry_Int_Tables_number 166
_symmetry_space_group_name_Hall '-R 3 2"'
loop_
_atom_site_label
_atom_site_type_symbol
_atom_site_fract_x
_atom_site_fract_y
_atom_site_fract_z
_atom_site_occupancy
Ca1 Ca 0.0000 0.0000 0.0000 1
Pu1 Pu 0.0000 0.0000 0.5000 1
Pd1 Pd 0.0000 0.0000 0.0906 1
```

## Properties
**E**: -6.63 eV/atom
**Energy above the most stable polymorph in this dataset**: 0.5849 eV/atom
**ΔE_f**: 0.053 eV per atom
**Total magnetic moment**: 17.80 μB per cell
**Density of states at the Fermi level**: 2.318 states/eV per atom

Record 8
The following is a DFT calculation (PBE-GGA) of a geometry-optimized Ca2PuPd3 structure.

Structure (CIF):
```
data_Ca2PuPd3
_cell_length_a 3.504
_cell_length_b 3.504
_cell_length_c 10.796
_cell_angle_alpha 90.00
_cell_angle_beta 90.00
_cell_angle_gamma 90.00
_symmetry_space_group_name_H-M 'P 4/m m m'
_symmetry_Int_Tables_number 123
_symmetry_space_group_name_Hall '-P 4 2'
loop_
_atom_site_label
_atom_site_type_symbol
_atom_site_fract_x
_atom_site_fract_y
_atom_site_fract_z
_atom_site_occupancy
Ca1 Ca 0.000 0.000 0.164 1
Pu1 Pu 0.000 0.000 0.500 1
Pd1 Pd 0.500 0.500 0.000 1
Pd2 Pd 0.500 0.500 0.340 1
```

## Properties
**E**: -6.23 eV/atom
**ΔE_f**: -0.574 eV per atom
**Total magnetic moment**: 5.44 μB per cell
**Density of states at the Fermi level**: 2.409 states/eV per atom

Record 9
The following is a DFT calculation (PBE-GGA) of a geometry-optimized CaPu2Pd9 structure.

Structure (CIF):
```
data_CaPu2Pd9
_cell_length_a 4.140
_cell_length_b 4.140
_cell_length_c 12.423
_cell_angle_alpha 90.00
_cell_angle_beta 90.00
_cell_angle_gamma 90.00
_symmetry_space_group_name_H-M 'P 4/m m m'
_symmetry_Int_Tables_number 123
_symmetry_space_group_name_Hall '-P 4 2'
loop_
_atom_site_label
_atom_site_type_symbol
_atom_site_fract_x
_atom_site_fract_y
_atom_site_fract_z
_atom_site_occupancy
Ca1 Ca 0.000 0.000 0.000 1
Pu1 Pu 0.000 0.000 0.332 1
Pd1 Pd 0.000 0.500 0.171 1
Pd2 Pd 0.000 0.500 0.500 1
Pd3 Pd 0.500 0.500 0.000 1
Pd4 Pd 0.500 0.500 0.335 1
```

## Properties
**E**: -7.00 eV/atom
**ΔE_f**: -0.551 eV per atom
**Total magnetic moment**: 8.95 μB per cell
**Density of states at the Fermi level**: 2.789 states/eV per atom

Record 10
The following is a DFT calculation (PBE-GGA) of a geometry-optimized CaPuPd2 structure.

Structure (CIF):
```
data_CaPuPd2
_cell_length_a 7.069
_cell_length_b 7.069
_cell_length_c 7.069
_cell_angle_alpha 90.00
_cell_angle_beta 90.00
_cell_angle_gamma 90.00
_symmetry_space_group_name_H-M 'F m -3 m'
_symmetry_Int_Tables_number 225
_symmetry_space_group_name_Hall '-F 4 2 3'
loop_
_atom_site_label
_atom_site_type_symbol
_atom_site_fract_x
_atom_site_fract_y
_atom_site_fract_z
_atom_site_occupancy
Ca1 Ca 0.000 0.000 0.000 1
Pu1 Pu 0.000 0.000 0.500 1
Pd1 Pd 0.250 0.250 0.250 1
```

## Properties
**E**: -7.17 eV/atom
**Energy above the most stable polymorph in this dataset**: 0.0458 eV/atom
**ΔE_f**: -0.486 eV per atom
**Total magnetic moment**: 22.79 μB per cell
**Density of states at the Fermi level**: 3.425 states/eV per atom

Record 11
The following is a DFT calculation (PBE-GGA) of a geometry-optimized CaPu2Sb2Pd2 structure.

Structure (CIF):
```
data_CaPu2Sb2Pd2
_cell_length_a 4.6837
_cell_length_b 4.6837
_cell_length_c 26.6581
_cell_angle_alpha 90.00
_cell_angle_beta 90.00
_cell_angle_gamma 120.00
_symmetry_space_group_name_H-M 'R -3 m'
_symmetry_Int_Tables_number 166
_symmetry_space_group_name_Hall '-R 3 2"'
loop_
_atom_site_label
_atom_site_type_symbol
_atom_site_fract_x
_atom_site_fract_y
_atom_site_fract_z
_atom_site_occupancy
Ca1 Ca 0.0000 0.0000 0.0000 1
Pu1 Pu 0.0000 0.0000 0.1431 1
Sb1 Sb 0.0000 0.0000 0.2628 1
Pd1 Pd 0.0000 0.0000 0.4377 1
```

## Properties
**E**: -7.72 eV/atom
**Total magnetic moment**: 31.27 μB per cell
**Raw formation energy**: -4.73 eV per formula unit
**Density of states at the Fermi level**: 2.002 states/eV per atom

Record 12
The following is a DFT calculation (PBE-GGA) of a geometry-optimized Ca2PuZn2Pd5 structure.

Structure (CIF):
```
data_Ca2PuZn2Pd5
_cell_length_a 9.951
_cell_length_b 9.951
_cell_length_c 3.887
_cell_angle_alpha 90.00
_cell_angle_beta 90.00
_cell_angle_gamma 90.00
_symmetry_space_group_name_H-M 'P 4/m b m'
_symmetry_Int_Tables_number 127
_symmetry_space_group_name_Hall '-P 4 2ab'
loop_
_atom_site_label
_atom_site_type_symbol
_atom_site_fract_x
_atom_site_fract_y
_atom_site_fract_z
_atom_site_occupancy
Ca1 Ca 0.175 0.325 0.000 1
Pu1 Pu 0.000 0.000 0.000 1
Zn1 Zn 0.120 0.620 0.000 1
Pd1 Pd 0.000 0.500 0.500 1
Pd2 Pd 0.070 0.788 0.500 1
```

## Properties
**E**: -5.27 eV/atom
**ΔE_f**: -0.582 eV per atom
**Total magnetic moment**: 10.87 μB per cell
**Density of states at the Fermi level**: 1.643 states/eV per atom